1.
A plane-wave DFT calculation with PBE was carried out for LaTaAu after structural relaxation.

Cell lengths 3.1136, 3.1136, 7.9681 Å; angles 90.00, 90.00, 120.00 degrees
Element x y z (fractional)
Au 0.0000 0.0000 0.9728
La 0.3333 0.6667 0.3325
Ta 0.6667 0.3333 0.6947

Computed properties:
Energy above the lowest structure with this stoichiometry ... 0.843 eV per formula unit
Calculated total energy ... -19.2 eV for the cell shown

***

2.
A plane-wave DFT calculation with PBE was carried out for LaTaAu after structural relaxation.

Cell lengths 6.8506, 6.8506, 3.2855 Å; angles 76.12, 76.13, 27.75 degrees
Element x y z (fractional)
Ta 0.3546 0.3546 0.6454
Au 0.9761 0.9761 0.0239
La 0.6693 0.6693 0.3307

Computed properties:
Energy above the lowest structure with this stoichiometry ... 0.000 eV per formula unit
Calculated total energy ... -20.1 eV for the cell shown

***

3.
A plane-wave DFT calculation with PBE was carried out for LaTaAu after structural relaxation.

Cell lengths 4.9095, 4.9095, 4.9095 Å; angles 60.00, 60.00, 60.00 degrees
Site moments in Bohr magnetons follow the coordinates.
Element x y z (fractional)
La 0.2500 0.2500 0.2500  0.23
Ta 0.0000 0.0000 0.0000  1.21
Au 0.5000 0.5000 0.5000  0.01

Computed properties:
Energy above the lowest structure with this stoichiometry ... 3.312 eV per formula unit
Calculated total energy ... -16.8 eV for the cell shown